# K2PuO3

A geometry-optimized K2PuO3 structure (PBE, Alexandria via LeMat-Bulk).

Structure (POSCAR):
```
K2PuO3
1.0
6.122 -0.019 -1.038
-3.299 5.158 -1.038
0.045 0.082 6.630
K Pu O
4 2 6
direct
0.833 0.167 0.500
0.333 0.667 0.000
0.176 0.824 0.500
0.491 0.509 0.500
0.000 0.000 0.000
0.666 0.334 0.000
0.655 0.989 0.808
0.011 0.345 0.192
0.878 0.600 0.808
0.267 0.212 0.808
0.400 0.122 0.192
0.788 0.733 0.192
```

Space group   C2/m
Uncorrected formation energy   -2.28 eV per atom

---

# K3Pu2O6

A geometry-optimized K3Pu2O6 structure (PBE, Alexandria via LeMat-Bulk).

Structure (POSCAR):
```
K3Pu2O6
1.0
-0.647 1.697 -3.893
1.805 -3.455 -1.806
-10.475 -4.031 2.353
K Pu O
3 2 6
direct
0.000 0.000 0.000
0.808 0.808 0.616
0.192 0.192 0.384
0.403 0.403 0.807
0.597 0.597 0.193
0.086 0.586 0.172
0.586 0.086 0.172
0.914 0.414 0.828
0.414 0.914 0.828
0.686 0.686 0.372
0.314 0.314 0.628
```

Space group   I4/mmm
Uncorrected formation energy   -2.33 eV per atom

---

# KPu2O4

A geometry-optimized KPu2O4 structure (PBE, Alexandria via LeMat-Bulk).

Structure (POSCAR):
```
KPu2O4
1.0
-4.140 1.195 -2.844
-2.875 0.230 4.282
1.400 6.281 0.602
K Pu O
1 2 4
direct
0.000 0.000 0.000
0.500 0.000 0.500
0.000 0.500 0.500
0.759 0.241 0.673
0.241 0.241 0.327
0.241 0.759 0.673
0.759 0.759 0.327
```

Space group   P-42m
Uncorrected formation energy   -2.41 eV per atom

---

# K5PuO6

A geometry-optimized K5PuO6 structure (PBE, Alexandria via LeMat-Bulk).

Structure (POSCAR):
```
K5PuO6
1.0
-0.366 2.060 6.092
3.169 -4.111 4.040
6.332 0.901 1.305
K O Pu
5 6 1
direct
0.500 0.166 0.669
0.000 0.667 0.667
0.000 0.333 0.333
0.500 0.500 0.000
0.500 0.834 0.331
0.809 0.813 0.000
0.799 0.065 0.256
0.201 0.679 0.256
0.201 0.935 0.744
0.799 0.321 0.744
0.191 0.187 0.000
0.000 0.000 0.000
```

Space group   C2/m
Uncorrected formation energy   -1.98 eV per atom

---

# KRb2PuO5

A geometry-optimized KRb2PuO5 structure (PBE, Alexandria via LeMat-Bulk).

Structure (POSCAR):
```
KRb2PuO5
1.0
4.328 0.000 0.000
0.000 6.343 0.000
-2.164 -3.171 6.555
K Rb Pu O
1 2 1 5
direct
0.000 0.500 0.000
0.224 0.224 0.448
0.776 0.776 0.552
0.500 0.000 0.000
0.606 0.889 0.213
0.394 0.111 0.787
0.394 0.677 0.787
0.606 0.323 0.213
0.000 0.000 0.000
```

Space group   Immm
Uncorrected formation energy   -2.11 eV per atom

---

# K2RbPuO5

A geometry-optimized K2RbPuO5 structure (PBE, Alexandria via LeMat-Bulk).

Structure (POSCAR):
```
K2RbPuO5
1.0
-0.756 -2.398 -3.540
2.961 -4.973 2.737
-6.486 1.811 2.822
K Rb Pu O
2 1 1 5
direct
0.225 0.225 0.450
0.775 0.775 0.550
0.000 0.500 0.000
0.500 0.000 0.000
0.613 0.899 0.226
0.387 0.101 0.774
0.387 0.673 0.774
0.613 0.327 0.226
0.000 0.000 0.000
```

Space group   Immm
Uncorrected formation energy   -2.15 eV per atom

---

# KRbPuO4

A geometry-optimized KRbPuO4 structure (PBE, Alexandria via LeMat-Bulk).

Structure (POSCAR):
```
KRbPuO4
1.0
6.141 0.000 0.000
0.000 6.140 0.000
-3.070 0.000 6.867
K Rb Pu O
2 2 2 8
direct
0.104 0.250 0.209
0.896 0.750 0.791
0.596 0.750 0.193
0.404 0.250 0.807
0.249 0.750 0.497
0.751 0.250 0.503
0.892 0.250 0.784
0.388 0.750 0.777
0.108 0.750 0.216
0.612 0.250 0.223
0.500 0.500 0.500
0.000 0.000 0.500
0.500 0.000 0.500
0.000 0.500 0.500
```

Space group   Cmcm
Uncorrected formation energy   -2.32 eV per atom

---

# KRb2PuO4

A geometry-optimized KRb2PuO4 structure (PBE, Alexandria via LeMat-Bulk).

Structure (POSCAR):
```
KRb2PuO4
1.0
-1.033 -7.015 3.009
1.441 -2.671 -7.080
4.899 4.875 3.301
K Rb Pu O
2 4 2 8
direct
0.000 0.500 0.000
0.000 0.500 0.500
0.500 0.000 0.000
0.500 0.000 0.500
0.000 0.000 0.500
0.500 0.500 0.000
0.500 0.500 0.500
0.000 0.000 0.000
0.170 0.817 0.994
0.683 0.330 0.506
0.317 0.670 0.494
0.830 0.183 0.006
0.751 0.749 0.943
0.751 0.749 0.557
0.249 0.251 0.443
0.249 0.251 0.057
```

Space group   Imma
Uncorrected formation energy   -2.07 eV per atom

---

# K2Rb3PuO6

A geometry-optimized K2Rb3PuO6 structure (PBE, Alexandria via LeMat-Bulk).

Structure (POSCAR):
```
K2Rb3PuO6
1.0
-2.610 -0.817 6.011
-2.750 -3.028 -5.185
5.522 -3.704 0.662
K Rb Pu O
2 3 1 6
direct
0.334 0.666 0.000
0.666 0.334 0.000
0.170 0.830 0.500
0.830 0.170 0.500
0.500 0.500 0.500
0.000 0.000 0.000
0.938 0.685 0.811
0.813 0.813 0.188
0.062 0.315 0.189
0.685 0.938 0.811
0.187 0.187 0.812
0.315 0.062 0.189
```

Space group   C2/m
Uncorrected formation energy   -1.94 eV per atom

---

# KRb4Pu3O12

A geometry-optimized KRb4Pu3O12 structure (PBE, Alexandria via LeMat-Bulk).

Structure (POSCAR):
```
KRb4Pu3O12
1.0
-5.498 -5.201 1.106
6.371 -3.494 -2.388
1.407 3.658 6.568
K Rb Pu O
1 4 3 12
direct
0.000 0.000 0.000
0.500 0.500 0.500
0.000 0.000 0.500
0.500 0.000 0.000
0.000 0.500 0.000
0.500 0.000 0.500
0.500 0.500 0.000
0.000 0.500 0.500
0.250 0.500 0.750
0.710 0.000 0.710
0.290 0.000 0.290
0.750 0.500 0.250
0.710 0.710 0.000
0.290 0.290 0.000
0.750 0.250 0.500
0.250 0.750 0.500
0.500 0.250 0.750
0.000 0.710 0.710
0.500 0.750 0.250
0.000 0.290 0.290
```

Space group   Im-3m
Uncorrected formation energy   -2.33 eV per atom

---

# KRb2Pu3O12

A geometry-optimized KRb2Pu3O12 structure (PBE, Alexandria via LeMat-Bulk).

Structure (POSCAR):
```
KRb2Pu3O12
1.0
-4.948 5.426 -1.857
-1.971 0.374 -7.305
-7.014 -2.305 -1.696
K Rb Pu O
1 2 3 12
direct
0.000 0.000 0.000
0.611 0.611 0.611
0.389 0.389 0.389
0.500 0.000 0.000
0.000 0.500 0.000
0.000 0.000 0.500
0.277 0.277 0.894
0.875 0.875 0.449
0.449 0.875 0.875
0.894 0.277 0.277
0.875 0.449 0.875
0.277 0.894 0.277
0.723 0.723 0.106
0.125 0.125 0.551
0.551 0.125 0.125
0.106 0.723 0.723
0.125 0.551 0.125
0.723 0.106 0.723
```

Space group   R-3m
Uncorrected formation energy   -2.28 eV per atom

---

# KRb2PuO6

A geometry-optimized KRb2PuO6 structure (PBE, Alexandria via LeMat-Bulk).

Structure (POSCAR):
```
KRb2PuO6
1.0
6.502 0.000 0.002
-0.001 6.503 0.002
3.252 3.251 4.600
K Rb Pu O
1 2 1 6
direct
0.000 0.000 0.000
0.250 0.750 0.500
0.750 0.250 0.500
0.500 0.500 0.000
0.288 0.712 0.000
0.712 0.712 0.000
0.288 0.288 0.424
0.712 0.288 0.000
0.288 0.288 0.000
0.712 0.712 0.576
```

Space group   Fm-3m
Uncorrected formation energy   -1.81 eV per atom

---

Repeat the first record exactly.
# K2PuO3

A geometry-optimized K2PuO3 structure (PBE, Alexandria via LeMat-Bulk).

Structure (POSCAR):
```
K2PuO3
1.0
6.122 -0.019 -1.038
-3.299 5.158 -1.038
0.045 0.082 6.630
K Pu O
4 2 6
direct
0.833 0.167 0.500
0.333 0.667 0.000
0.176 0.824 0.500
0.491 0.509 0.500
0.000 0.000 0.000
0.666 0.334 0.000
0.655 0.989 0.808
0.011 0.345 0.192
0.878 0.600 0.808
0.267 0.212 0.808
0.400 0.122 0.192
0.788 0.733 0.192
```

Space group   C2/m
Uncorrected formation energy   -2.28 eV per atom